Record 1
The following is a DFT calculation (PBE-GGA) of crystalline In2OsRh at its relaxed geometry.

a b c (Å): 9.312 9.312 9.312
angles (deg): 18.65 18.65 18.65
Element x y z (fractional)
In  0.757  0.757  0.757
In  0.992  0.992  0.992
Rh  0.245  0.245  0.245
Os  0.506  0.506  0.506

## Properties
Calculated total energy (eV per atom): -5.67
V (Å³ per atom): 18.0
Energy above the lowest structure with this stoichiometry (meV per atom): 276
DOS(E_F) (states/eV/f.u.): 3.76
Formation energy from the elements (eV per atom): 0.34

***

Record 2
The following is a DFT calculation (PBE-GGA) of crystalline VCo3H at its relaxed geometry.

a b c (Å): 3.951 3.951 7.204
angles (deg): 90.00 90.00 120.00
Element x y z (fractional)
Co  0.667  0.333  0.579
Co  0.333  0.667  0.421
Co  0.333  0.667  0.079
Co  0.000  0.000  0.750
Co  0.000  0.000  0.250
Co  0.667  0.333  0.921
H  0.000  0.000  0.500
H  0.000  0.000  0.000
V  0.667  0.333  0.250
V  0.333  0.667  0.750

## Properties
Calculated total energy (eV per atom): -6.52
V (Å³ per atom): 9.7
Energy above the lowest structure with this stoichiometry (meV per atom): 391
DOS(E_F) (states/eV/f.u.): 5.83

***

Record 3
The following is a DFT calculation (PBE-GGA) of crystalline La2Mo2N at its relaxed geometry.

a b c (Å): 5.769 5.769 5.806
angles (deg): 90.00 90.00 90.00
Element x y z (fractional)
La  0.825  0.325  0.500
La  0.325  0.175  0.500
La  0.675  0.825  0.500
La  0.175  0.675  0.500
Mo  0.830  0.670  0.000
Mo  0.670  0.170  0.000
Mo  0.330  0.830  0.000
Mo  0.170  0.330  0.000
N  0.000  0.000  0.000
N  0.500  0.500  0.000

## Properties
Calculated total energy (eV per atom): -7.64
V (Å³ per atom): 19.3
Formation energy (no corrections) (kcal/mol of atoms): 7.627
Energy above the lowest structure with this stoichiometry (meV per atom): 0
DOS(E_F) (states/eV/f.u.): 4.43

***

Record 4
The following is a DFT calculation (PBE-GGA) of crystalline Cs2PaAg2S6 at its relaxed geometry.

a b c (Å): 7.541 7.541 7.691
angles (deg): 90.00 90.00 120.00
Element x y z (fractional)
Ag  0.667  0.333  0.195
Ag  0.333  0.667  0.805
S  0.694  0.844  0.779
S  0.156  0.850  0.779
S  0.150  0.306  0.779
S  0.850  0.694  0.221
S  0.844  0.150  0.221
S  0.306  0.156  0.221
Cs  0.333  0.667  0.301
Cs  0.667  0.333  0.699
Pa  0.000  0.000  0.000

## Properties
Calculated total energy (eV per atom): -4.49
V (Å³ per atom): 34.4
Formation energy (no corrections) (kcal/mol of atoms): -16.167
DOS(E_F) (states/eV/f.u.): 5.92

***

Record 5
The following is a DFT calculation (PBE-GGA) of crystalline HgP2O2 at its relaxed geometry.

a b c (Å): 4.993 4.993 4.054
angles (deg): 90.00 90.00 90.00
Element x y z (fractional)
O  0.500  0.500  0.500
O  0.000  0.000  0.500
P  0.000  0.500  0.000
P  0.500  0.000  0.000
Hg  0.000  0.000  0.000

## Properties
Calculated total energy (eV per atom): -2.58
V (Å³ per atom): 20.2
Formation energy (no corrections) (kcal/mol of atoms): 37.575
Energy above the lowest structure with this stoichiometry (meV per atom): 1994
DOS(E_F) (states/eV/f.u.): 4.00

***

Record 6
The following is a DFT calculation (PBE-GGA) of crystalline Ba2SrCoPd at its relaxed geometry.

a b c (Å): 5.601 5.608 5.601
angles (deg): 90.00 90.00 90.00
Element x y z (fractional)
Ba  0.500  0.000  0.000
Ba  0.000  0.000  0.500
Pd  0.500  0.500  0.500
Sr  0.000  0.500  0.000
Co  0.000  0.000  0.000

## Properties
Calculated total energy (eV per atom): -3.32
V (Å³ per atom): 35.2
DOS(E_F) (states/eV/f.u.): 4.69
Formation energy from the elements (eV per atom): 0.24

***

Record 7
The following is a DFT calculation (PBE-GGA) of crystalline Pm8TlCo2 at its relaxed geometry.

a b c (Å): 5.473 8.110 8.110
angles (deg): 115.19 97.17 97.17
Element x y z (fractional)
Pm  0.500  0.250  0.750
Pm  0.937  0.925  0.668
Pm  0.302  0.606  0.606
Pm  0.063  0.075  0.332
Pm  0.698  0.394  0.394
Pm  0.063  0.332  0.075
Pm  0.937  0.668  0.925
Pm  0.500  0.750  0.250
Co  0.000  0.297  0.703
Co  0.000  0.703  0.297
Tl  0.500  0.000  0.000

## Properties
Calculated total energy (eV per atom): -5.01
V (Å³ per atom): 28.8
DOS(E_F) (states/eV/f.u.): 13.96
Formation energy from the elements (eV per atom): -0.05

***

Record 8
The following is a DFT calculation (PBE-GGA) of crystalline Ho2ErSi3Pt4 at its relaxed geometry.

a b c (Å): 4.145 4.145 11.043
angles (deg): 90.00 90.00 90.00
Element x y z (fractional)
Pt  0.000  0.500  0.338
Pt  0.500  0.000  0.662
Pt  0.000  0.000  0.000
Pt  0.500  0.500  0.000
Si  0.000  0.000  0.500
Si  0.000  0.500  0.124
Si  0.500  0.000  0.876
Er  0.500  0.500  0.500
Ho  0.000  0.500  0.776
Ho  0.500  0.000  0.224

## Properties
Calculated total energy (eV per atom): -6.47
V (Å³ per atom): 19.0
Formation energy (no corrections) (kcal/mol of atoms): -24.404
DOS(E_F) (states/eV/f.u.): 7.31

***

> Which value of DOS(E_F) does entry 7 give?

13.96 states/eV/f.u.